Entry 1:
{"formula": "CsK2ZrI8", "functional": "GGA-PBE", "state": "relaxed", "lattice_angstrom": [[8.119, -0.042, -0.007], [-0.082, 6.923, 0.004], [0.003, 0.027, 11.085]], "species": ["I", "I", "I", "I", "I", "I", "I", "I", "Zr", "K", "K", "Cs"], "fractional_positions": [[0.130, 0.759, 0.813], [0.870, 0.241, 0.187], [0.873, 0.244, 0.812], [0.693, 0.783, 0.999], [0.127, 0.756, 0.188], [0.492, 0.245, 0.500], [0.307, 0.217, 0.001], [0.508, 0.755, 0.500], [0.000, 0.000, 0.000], [0.500, 0.498, 0.778], [0.500, 0.502, 0.222], [0.000, 0.000, 0.500]], "space_group": "P-1 (2)"}

---

Entry 2:
{"formula": "CsLaI2", "functional": "GGA-PBE", "state": "relaxed", "lattice_angstrom": [[-4.410, 2.965, -7.815], [3.830, -7.136, -4.869], [-3.921, -4.745, -5.301]], "species": ["La", "La", "I", "I", "I", "I", "Cs", "Cs"], "fractional_positions": [[0.000, 0.000, 0.000], [0.750, 0.250, 0.500], [0.375, 0.326, 0.750], [0.875, 0.924, 0.750], [0.076, 0.625, 0.250], [0.674, 0.125, 0.250], [0.250, 0.750, 0.500], [0.500, 0.500, 0.000]], "space_group": "I-42d (122)", "relative_energy_mev_per_atom": 252}

---

Entry 3:
{"formula": "Cs2La2I7", "functional": "GGA-PBE", "state": "relaxed", "lattice_angstrom": [[8.522, -0.264, -0.345], [-0.479, 7.742, 3.413], [-0.536, -0.660, 8.431]], "species": ["La", "La", "I", "I", "I", "I", "I", "I", "I", "Cs", "Cs"], "fractional_positions": [[0.963, 0.759, 0.759], [0.037, 0.241, 0.241], [0.757, 0.056, 0.491], [0.790, 0.549, 0.549], [0.243, 0.944, 0.509], [0.210, 0.451, 0.451], [0.243, 0.509, 0.944], [0.000, 0.000, 0.000], [0.757, 0.491, 0.056], [0.500, 0.225, 0.775], [0.500, 0.775, 0.225]], "space_group": "C2/m (12)", "relative_energy_mev_per_atom": 10}

---

Entry 4:
{"formula": "CsLa3I", "functional": "GGA-PBE", "state": "relaxed", "lattice_angstrom": [[6.172, 0.000, 0.000], [0.000, 6.172, 0.000], [0.000, 0.000, 6.172]], "species": ["La", "La", "La", "Cs", "I"], "fractional_positions": [[0.000, 0.500, 0.000], [0.000, 0.000, 0.500], [0.500, 0.000, 0.000], [0.500, 0.500, 0.500], [0.000, 0.000, 0.000]], "space_group": "Pm-3m (221)", "relative_energy_mev_per_atom": 0}

---

Entry 5:
{"formula": "Cs3LaI6", "functional": "GGA-PBE", "state": "relaxed", "lattice_angstrom": [[-5.684, -0.504, -7.728], [-3.179, -8.589, 2.898], [-9.426, -1.525, 1.061]], "species": ["Cs", "Cs", "Cs", "I", "I", "I", "I", "I", "I", "La"], "fractional_positions": [[0.500, 0.500, 0.000], [0.250, 0.750, 0.500], [0.750, 0.250, 0.500], [0.768, 0.768, 0.464], [0.768, 0.768, 0.000], [0.232, 0.768, 0.000], [0.232, 0.232, 0.536], [0.768, 0.232, 0.000], [0.232, 0.232, 0.000], [0.000, 0.000, 0.000]], "space_group": "Fm-3m (225)", "relative_energy_mev_per_atom": 65}

---

Entry 6:
{"formula": "CsLa2I7", "functional": "GGA-PBE", "state": "relaxed", "lattice_angstrom": [[-1.914, -1.386, -5.873], [6.933, -6.549, -0.713], [-8.366, -3.090, 3.455]], "species": ["I", "I", "I", "I", "I", "I", "I", "Cs", "La", "La"], "fractional_positions": [[0.000, 0.292, 0.708], [0.500, 0.950, 0.674], [0.500, 0.326, 0.050], [0.500, 0.674, 0.950], [0.500, 0.500, 0.500], [0.500, 0.050, 0.326], [0.000, 0.708, 0.292], [0.000, 0.000, 0.000], [0.500, 0.698, 0.302], [0.500, 0.302, 0.698]], "space_group": "Cmmm (65)"}

---

Entry 7:
{"formula": "Cs2LaI7", "functional": "GGA-PBE", "state": "relaxed", "lattice_angstrom": [[9.981, 0.000, 0.000], [0.000, 9.981, 0.000], [4.990, 4.990, 6.087]], "species": ["I", "I", "I", "I", "I", "I", "I", "Cs", "Cs", "La"], "fractional_positions": [[0.264, 0.264, 0.472], [0.221, 0.221, 0.000], [0.779, 0.221, 0.000], [0.779, 0.779, 0.000], [0.736, 0.736, 0.528], [0.500, 0.500, 0.000], [0.221, 0.779, 0.000], [0.750, 0.250, 0.500], [0.250, 0.750, 0.500], [0.000, 0.000, 0.000]], "space_group": "I4/mmm (139)"}

---

Entry 8:
{"formula": "CsLaI4", "functional": "GGA-PBE", "state": "relaxed", "lattice_angstrom": [[-3.994, -4.990, 0.093], [3.195, -2.410, 7.927], [-6.128, 9.096, 5.235]], "species": ["Cs", "Cs", "I", "I", "I", "I", "I", "I", "I", "I", "La", "La"], "fractional_positions": [[0.161, 0.333, 0.323], [0.839, 0.833, 0.677], [0.340, 0.564, 0.680], [0.530, 0.437, 0.060], [0.702, 0.576, 0.404], [0.917, 0.253, 0.835], [0.083, 0.753, 0.165], [0.660, 0.064, 0.320], [0.470, 0.937, 0.940], [0.298, 0.076, 0.596], [0.592, 0.770, 0.183], [0.408, 0.270, 0.817]], "space_group": "Cmc2_1 (36)", "relative_energy_mev_per_atom": 0}

---

Entry 9:
{"formula": "CsLaI4", "functional": "GGA-PBE", "state": "relaxed", "lattice_angstrom": [[7.645, 0.000, 3.710], [0.054, 8.416, -0.111], [0.026, -0.458, 9.679]], "species": ["I", "I", "I", "I", "I", "I", "I", "I", "La", "La", "Cs", "Cs"], "fractional_positions": [[0.245, 0.000, 0.000], [0.168, 0.572, 0.211], [0.299, 0.173, 0.401], [0.832, 0.428, 0.789], [0.755, 0.000, 0.000], [0.701, 0.827, 0.599], [0.621, 0.572, 0.211], [0.379, 0.428, 0.789], [0.468, 0.280, 0.063], [0.532, 0.720, 0.937], [0.792, 0.248, 0.416], [0.208, 0.752, 0.584]], "space_group": "C2/m (12)", "relative_energy_mev_per_atom": 21}

---

Entry 10:
{"formula": "Cs2LaI5", "functional": "GGA-PBE", "state": "relaxed", "lattice_angstrom": [[9.841, 0.000, 0.000], [0.000, 10.365, 0.000], [0.000, 0.000, 15.485]], "species": ["I", "I", "I", "I", "I", "I", "I", "I", "I", "I", "I", "I", "I", "I", "I", "I", "I", "I", "I", "I", "La", "La", "La", "La", "Cs", "Cs", "Cs", "Cs", "Cs", "Cs", "Cs", "Cs"], "fractional_positions": [[0.167, 0.547, 0.062], [0.167, 0.953, 0.062], [0.096, 0.250, 0.513], [0.140, 0.250, 0.804], [0.598, 0.250, 0.683], [0.833, 0.453, 0.938], [0.098, 0.750, 0.817], [0.333, 0.953, 0.562], [0.402, 0.750, 0.317], [0.596, 0.750, 0.987], [0.360, 0.250, 0.304], [0.860, 0.750, 0.196], [0.902, 0.250, 0.183], [0.333, 0.547, 0.562], [0.904, 0.750, 0.487], [0.833, 0.047, 0.938], [0.404, 0.250, 0.013], [0.640, 0.750, 0.696], [0.667, 0.453, 0.438], [0.667, 0.047, 0.438], [0.572, 0.750, 0.494], [0.928, 0.750, 0.994], [0.428, 0.250, 0.506], [0.072, 0.250, 0.006], [0.080, 0.509, 0.330], [0.920, 0.491, 0.670], [0.580, 0.009, 0.170], [0.580, 0.491, 0.170], [0.080, 0.991, 0.330], [0.420, 0.991, 0.830], [0.420, 0.509, 0.830], [0.920, 0.009, 0.670]], "space_group": "Pnma (62)", "relative_energy_mev_per_atom": 0}

---

Entry 11:
{"formula": "Cs3LaI6", "functional": "GGA-PBE", "state": "relaxed", "lattice_angstrom": [[10.731, 0.824, -1.020], [-1.196, 10.696, -1.020], [0.682, 0.824, 10.758]], "species": ["Cs", "Cs", "Cs", "Cs", "Cs", "Cs", "I", "I", "I", "I", "I", "I", "I", "I", "I", "I", "I", "I", "La", "La"], "fractional_positions": [[0.750, 0.924, 0.427], [0.250, 0.076, 0.573], [0.924, 0.427, 0.750], [0.427, 0.750, 0.924], [0.573, 0.250, 0.076], [0.076, 0.573, 0.250], [0.938, 0.278, 0.077], [0.278, 0.077, 0.938], [0.783, 0.569, 0.452], [0.722, 0.923, 0.062], [0.569, 0.452, 0.783], [0.062, 0.722, 0.923], [0.431, 0.548, 0.217], [0.923, 0.062, 0.722], [0.452, 0.783, 0.569], [0.077, 0.938, 0.278], [0.548, 0.217, 0.431], [0.217, 0.431, 0.548], [0.500, 0.500, 0.500], [0.000, 0.000, 0.000]], "space_group": "R-3 (148)", "relative_energy_mev_per_atom": 3}

---

Entry 12:
{"formula": "CsLaI2", "functional": "GGA-PBE", "state": "relaxed", "lattice_angstrom": [[4.345, 0.000, 0.000], [2.173, 3.763, 0.000], [2.173, 1.254, 10.078]], "species": ["Cs", "La", "I", "I"], "fractional_positions": [[0.500, 0.500, 0.500], [0.000, 0.000, 0.000], [0.740, 0.740, 0.781], [0.260, 0.260, 0.219]], "space_group": "R-3m (166)", "relative_energy_mev_per_atom": 0}

---

Looking at E_form (uncorrected) for the records above, in order, we have -1.093, -0.875, -1.408, 0.128, -1.504, -1.509, -1.127, -1.526, -1.504, -1.572, -1.565, -1.127 eV per atom.